No. 1
# CuPdSe2

A relaxed CuPdSe2 crystal (PBE, Alexandria).

a b c (Å): 3.8350 3.8350 6.8612
angles (deg): 90.00 90.00 120.00
Positions (direct):
Cu (0.0000, 0.0000, 0.0000)
Pd (0.3333, 0.6667, 0.5054)
Se (0.0000, 0.0000, 0.3467)
Se (0.3333, 0.6667, 0.8734)

Calculated values
Total DFT energy (no corrections), eV/atom: -4.171
DOS(E_F), states/eV/f.u.: 3.10

***

No. 2
# Cu2Pd2Se

A relaxed Cu2Pd2Se crystal (PBE, Alexandria).

a b c (Å): 6.3471 6.3471 3.7671
angles (deg): 90.00 90.00 90.00
Positions (direct):
Cu (0.1363, 0.3637, 0.0000)
Cu (0.3637, 0.8637, 0.0000)
Cu (0.6363, 0.1363, 0.0000)
Cu (0.8637, 0.6363, 0.0000)
Pd (0.1623, 0.6623, 0.5000)
Pd (0.3377, 0.1623, 0.5000)
Pd (0.6623, 0.8377, 0.5000)
Pd (0.8377, 0.3377, 0.5000)
Se (0.0000, 0.0000, 0.0000)
Se (0.5000, 0.5000, 0.0000)

Calculated values
E above lowest polymorph, meV/atom: 0.0
Total DFT energy (no corrections), eV/atom: -4.379
DOS(E_F), states/eV/f.u.: 2.11